## Pu2Bi2HPd4 (GGA-PBE)

Data for Pu2Bi2HPd4 after structural relaxation.

CIF file:
```
data_Pu2Bi2HPd4
_chemical_formula_sum 'Pu4 Bi4 H2 Pd8'
_cell_length_a 6.759
_cell_length_b 6.759
_cell_length_c 7.621
_cell_angle_alpha 90.00
_cell_angle_beta 90.00
_cell_angle_gamma 90.00
_space_group_name_H-M_alt 'I 4/m m m'
_space_group_IT_number 139
_space_group_name_Hall '-I 4 2'
loop_
_atom_site_label
_atom_site_fract_x
_atom_site_fract_y
_atom_site_fract_z
_atom_site_occupancy
Pu1 0.000 0.000 0.192 1
Bi1 0.000 0.500 0.250 1
H1 0.000 0.000 0.500 1
Pd1 0.214 0.214 0.500 1
```

**Raw total energy**: -126.80 eV for the cell shown
**Magnetization**: 11.09 μB per formula unit
**Fermi-level density of states**: 46.401 states/eV/cell



## Er4CoCu3 (GGA-PBE)

Data for Er4CoCu3 after structural relaxation.

CIF file:
```
data_Er4CoCu3
_chemical_formula_sum 'Er4 Co1 Cu3'
_cell_length_a 3.386
_cell_length_b 3.386
_cell_length_c 13.782
_cell_angle_alpha 90.00
_cell_angle_beta 90.00
_cell_angle_gamma 90.00
_space_group_name_H-M_alt 'P 4/m m m'
_space_group_IT_number 123
_space_group_name_Hall '-P 4 2'
loop_
_atom_site_label
_atom_site_fract_x
_atom_site_fract_y
_atom_site_fract_z
_atom_site_occupancy
Er1 0.000 0.000 0.118 1
Er2 0.000 0.000 0.373 1
Co1 0.500 0.500 0.000 1
Cu1 0.500 0.500 0.247 1
Cu2 0.500 0.500 0.500 1
```

**Magnetization**: 0.60 μB per formula unit
**Energy of formation from the pure elements**: -0.263 eV/atom
**Fermi-level density of states**: 4.333 states/eV/cell



## Tb4Dy5Y4 (GGA-PBE)

Data for Tb4Dy5Y4 after structural relaxation.

CIF file:
```
data_Tb4Dy5Y4
_chemical_formula_sum 'Tb8 Dy10 Y8'
_cell_length_a 12.830
_cell_length_b 12.830
_cell_length_c 5.021
_cell_angle_alpha 90.00
_cell_angle_beta 90.00
_cell_angle_gamma 90.00
_space_group_name_H-M_alt 'I 4/m'
_space_group_IT_number 87
_space_group_name_Hall '-I 4'
loop_
_atom_site_label
_atom_site_fract_x
_atom_site_fract_y
_atom_site_fract_z
_atom_site_occupancy
Tb1 0.154 0.230 0.000 1
Dy1 0.000 0.000 0.000 1
Dy2 0.039 0.809 0.500 1
Y1 0.078 0.616 0.000 1
```

**Magnetization**: 0.00 μB per formula unit
**Energy of formation from the pure elements**: 0.018 eV/atom
**Fermi-level density of states**: 35.557 states/eV/cell



## Ti2ZnAgH (GGA-PBE)

Data for Ti2ZnAgH after structural relaxation.

CIF file:
```
data_Ti2ZnAgH
_chemical_formula_sum 'Ti2 Zn1 Ag1 H1'
_cell_length_a 3.999
_cell_length_b 3.999
_cell_length_c 4.212
_cell_angle_alpha 90.00
_cell_angle_beta 90.00
_cell_angle_gamma 90.00
_space_group_name_H-M_alt 'P 4/m m m'
_space_group_IT_number 123
_space_group_name_Hall '-P 4 2'
loop_
_atom_site_label
_atom_site_fract_x
_atom_site_fract_y
_atom_site_fract_z
_atom_site_occupancy
Ti1 0.000 0.500 0.000 1
Zn1 0.000 0.000 0.500 1
Ag1 0.500 0.500 0.500 1
H1 0.500 0.500 0.000 1
```

**Excess energy over the best structure of this formula in the dataset**: 0.0 meV per atom
**Magnetization**: 0.00 μB per formula unit
**Fermi-level density of states**: 4.419 states/eV/cell



## LaAgOs (GGA-PBE)

Data for LaAgOs after structural relaxation.

CIF file:
```
data_LaAgOs
_chemical_formula_sum 'La1 Ag1 Os1'
_cell_length_a 4.5309
_cell_length_b 4.5309
_cell_length_c 3.9206
_cell_angle_alpha 90.00
_cell_angle_beta 90.00
_cell_angle_gamma 120.00
_space_group_name_H-M_alt 'P -6 m 2'
_space_group_IT_number 187
_space_group_name_Hall 'P -6 2'
loop_
_atom_site_label
_atom_site_fract_x
_atom_site_fract_y
_atom_site_fract_z
_atom_site_occupancy
La1 0.0000 0.0000 0.0000 1
Ag1 0.3333 0.6667 0.5000 1
Os1 0.6667 0.3333 0.5000 1
```

**Excess energy over the best structure of this formula in the dataset**: 0.0 meV per atom
**Magnetization**: 0.00 μB per formula unit
**Energy of formation from the pure elements**: 0.350 eV/atom
**Fermi-level density of states**: 2.760 states/eV/cell



## TaZnSb2Rh (GGA-PBE)

Data for TaZnSb2Rh after structural relaxation.

CIF file:
```
data_TaZnSb2Rh
_chemical_formula_sum 'Ta1 Zn1 Sb2 Rh1'
_cell_length_a 5.006
_cell_length_b 5.006
_cell_length_c 4.458
_cell_angle_alpha 90.00
_cell_angle_beta 90.00
_cell_angle_gamma 90.00
_space_group_name_H-M_alt 'P 4/m m m'
_space_group_IT_number 123
_space_group_name_Hall '-P 4 2'
loop_
_atom_site_label
_atom_site_fract_x
_atom_site_fract_y
_atom_site_fract_z
_atom_site_occupancy
Ta1 0.000 0.000 0.000 1
Zn1 0.500 0.500 0.500 1
Sb1 0.000 0.500 0.500 1
Rh1 0.500 0.500 0.000 1
```

**Raw total energy**: -23.49 eV for the cell shown
**Magnetization**: 0.00 μB per formula unit
**Fermi-level density of states**: 4.246 states/eV/cell



## ThAl3Ge3 (GGA-PBE)

Data for ThAl3Ge3 after structural relaxation.

CIF file:
```
data_ThAl3Ge3
_chemical_formula_sum 'Th2 Al6 Ge6'
_cell_length_a 4.093
_cell_length_b 6.504
_cell_length_c 12.124
_cell_angle_alpha 74.73
_cell_angle_beta 80.43
_cell_angle_gamma 72.69
_space_group_name_H-M_alt 'P -1'
_space_group_IT_number 2
loop_
_space_group_symop_operation_xyz
'x,y,z'
'-x,-y,-z'
loop_
_atom_site_label
_atom_site_fract_x
_atom_site_fract_y
_atom_site_fract_z
_atom_site_occupancy
Th1 0.089 0.489 0.332 1
Al1 0.101 0.791 0.010 1
Al2 0.197 0.008 0.593 1
Al3 0.380 0.972 0.247 1
Ge1 0.228 0.755 0.802 1
Ge2 0.403 0.325 0.872 1
Ge3 0.405 0.723 0.464 1
```

**Excess energy over the best structure of this formula in the dataset**: 0.0 meV per atom
**Magnetization**: 0.00 μB per formula unit
**Energy of formation from the pure elements**: -0.176 eV/atom
**Fermi-level density of states**: 4.878 states/eV/cell



## RbCdF3 (GGA-PBE)

Data for RbCdF3 after structural relaxation.

CIF file:
```
data_RbCdF3
_chemical_formula_sum 'Rb2 Cd2 F6'
_cell_length_a 4.454
_cell_length_b 6.740
_cell_length_c 6.651
_cell_angle_alpha 90.00
_cell_angle_beta 105.77
_cell_angle_gamma 90.00
_space_group_name_H-M_alt 'P 1 21/m 1'
_space_group_IT_number 11
loop_
_space_group_symop_operation_xyz
'x,y,z'
'-x,-y,-z'
'-x,y+1/2,-z'
'x,-y+1/2,z'
loop_
_atom_site_label
_atom_site_fract_x
_atom_site_fract_y
_atom_site_fract_z
_atom_site_occupancy
Rb1 0.175 0.250 0.402 1
Cd1 0.497 0.250 0.968 1
F1 0.008 0.750 0.040 1
F2 0.394 0.521 0.755 1
```

**Raw total energy**: -39.01 eV for the cell shown
**Magnetization**: 0.00 μB per formula unit
**Fermi-level density of states**: 0.000 states/eV/cell



## Rb2Zn3F10 (GGA-PBE)

Data for Rb2Zn3F10 after structural relaxation.

CIF file:
```
data_Rb2Zn3F10
_chemical_formula_sum 'Rb8 Zn12 F40'
_cell_length_a 19.044
_cell_length_b 6.222
_cell_length_c 8.240
_cell_angle_alpha 90.00
_cell_angle_beta 112.24
_cell_angle_gamma 90.00
_space_group_name_H-M_alt 'C 1 2/m 1'
_space_group_IT_number 12
loop_
_space_group_symop_operation_xyz
'x,y,z'
'-x,-y,-z'
'-x,y,-z'
'x,-y,z'
'x+1/2,y+1/2,z'
'-x+1/2,-y+1/2,-z'
'-x+1/2,y+1/2,-z'
'x+1/2,-y+1/2,z'
loop_
_atom_site_label
_atom_site_fract_x
_atom_site_fract_y
_atom_site_fract_z
_atom_site_occupancy
Rb1 0.114 0.000 0.226 1
Rb2 0.213 0.000 0.811 1
Zn1 0.000 0.249 0.500 1
Zn2 0.074 0.500 0.962 1
Zn3 0.179 0.500 0.507 1
F1 0.000 0.300 0.000 1
F2 0.022 0.000 0.671 1
F3 0.024 0.500 0.681 1
F4 0.106 0.263 0.516 1
F5 0.137 0.500 0.257 1
F6 0.142 0.275 0.972 1
F7 0.229 0.500 0.753 1
F8 0.250 0.250 0.500 1
```

**Raw total energy**: -227.80 eV for the cell shown
**Magnetization**: 2.11 μB per formula unit
**Fermi-level density of states**: 36.942 states/eV/cell



## Ho4TlTe2Se (GGA-PBE)

Data for Ho4TlTe2Se after structural relaxation.

CIF file:
```
data_Ho4TlTe2Se
_chemical_formula_sum 'Ho4 Tl1 Te2 Se1'
_cell_length_a 7.439
_cell_length_b 4.237
_cell_length_c 7.514
_cell_angle_alpha 90.00
_cell_angle_beta 108.92
_cell_angle_gamma 90.00
_space_group_name_H-M_alt 'P 1 2/m 1'
_space_group_IT_number 10
loop_
_space_group_symop_operation_xyz
'x,y,z'
'-x,-y,-z'
'-x,y,-z'
'x,-y,z'
loop_
_atom_site_label
_atom_site_fract_x
_atom_site_fract_y
_atom_site_fract_z
_atom_site_occupancy
Ho1 0.240 0.000 0.227 1
Ho2 0.252 0.500 0.764 1
Tl1 0.500 0.000 0.000 1
Te1 0.000 0.000 0.500 1
Te2 0.500 0.500 0.500 1
Se1 0.000 0.500 0.000 1
```

**Raw total energy**: -39.63 eV for the cell shown
**Magnetization**: 0.00 μB per formula unit
**Fermi-level density of states**: 3.091 states/eV/cell



## BiPd6Au (GGA-PBE)

Data for BiPd6Au after structural relaxation.

CIF file:
```
data_BiPd6Au
_chemical_formula_sum 'Bi1 Pd6 Au1'
_cell_length_a 5.202
_cell_length_b 5.213
_cell_length_c 5.217
_cell_angle_alpha 95.10
_cell_angle_beta 94.93
_cell_angle_gamma 95.21
_space_group_name_H-M_alt 'P -1'
_space_group_IT_number 2
loop_
_space_group_symop_operation_xyz
'x,y,z'
'-x,-y,-z'
loop_
_atom_site_label
_atom_site_fract_x
_atom_site_fract_y
_atom_site_fract_z
_atom_site_occupancy
Bi1 0.000 0.000 0.000 1
Pd1 0.048 0.747 0.453 1
Pd2 0.254 0.547 0.952 1
Pd3 0.453 0.048 0.747 1
Au1 0.500 0.500 0.500 1
```

**Excess energy over the best structure of this formula in the dataset**: 102.7 meV per atom
**Magnetization**: 0.00 μB per formula unit
**Energy of formation from the pure elements**: -0.068 eV/atom
**Fermi-level density of states**: 5.196 states/eV/cell



## MgGa6Tc2 (GGA-PBE)

Data for MgGa6Tc2 after structural relaxation.

CIF file:
```
data_MgGa6Tc2
_chemical_formula_sum 'Mg2 Ga12 Tc4'
_cell_length_a 3.305
_cell_length_b 6.795
_cell_length_c 13.063
_cell_angle_alpha 90.00
_cell_angle_beta 90.00
_cell_angle_gamma 90.00
_space_group_name_H-M_alt 'I m m m'
_space_group_IT_number 71
_space_group_name_Hall '-I 2 2'
loop_
_atom_site_label
_atom_site_fract_x
_atom_site_fract_y
_atom_site_fract_z
_atom_site_occupancy
Mg1 0.000 0.000 0.000 1
Ga1 0.000 0.178 0.500 1
Ga2 0.000 0.309 0.319 1
Tc1 0.000 0.500 0.135 1
```

**Magnetization**: 0.00 μB per formula unit
**Energy of formation from the pure elements**: -0.045 eV/atom
**Fermi-level density of states**: 10.153 states/eV/cell



Q: Fermi-level density of states of number 2 (Er4CoCu3)?
A: 4.333 states/eV/cell



Q: Which value of Fermi-level density of states does entry 2 give?
A: 4.333 states/eV/cell



What did the eighth record say?
## RbCdF3 (GGA-PBE)

Data for RbCdF3 after structural relaxation.

CIF file:
```
data_RbCdF3
_chemical_formula_sum 'Rb2 Cd2 F6'
_cell_length_a 4.454
_cell_length_b 6.740
_cell_length_c 6.651
_cell_angle_alpha 90.00
_cell_angle_beta 105.77
_cell_angle_gamma 90.00
_space_group_name_H-M_alt 'P 1 21/m 1'
_space_group_IT_number 11
loop_
_space_group_symop_operation_xyz
'x,y,z'
'-x,-y,-z'
'-x,y+1/2,-z'
'x,-y+1/2,z'
loop_
_atom_site_label
_atom_site_fract_x
_atom_site_fract_y
_atom_site_fract_z
_atom_site_occupancy
Rb1 0.175 0.250 0.402 1
Cd1 0.497 0.250 0.968 1
F1 0.008 0.750 0.040 1
F2 0.394 0.521 0.755 1
```

**Raw total energy**: -39.01 eV for the cell shown
**Magnetization**: 0.00 μB per formula unit
**Fermi-level density of states**: 0.000 states/eV/cell